1.
13
Lattice="2.594 1.497 9.174 -2.594 1.497 9.174 0.000 -2.995 9.174" Properties=species:S:1:pos:R:3 comment="Al12Re, optimized geometry, DFT PBE-GGA" m_tot_mub_per_cell=0.0 total_energy_ev_per_cell=-57.2 pbc="T T T"
Al 0.000 0.000 1.282
Al -1.305 -0.753 11.637
Al 0.000 0.000 4.238
Al 0.000 0.000 9.220
Al 0.000 -1.507 15.884
Al -1.305 0.753 15.884
Al 1.305 -0.753 11.637
Al 0.000 1.507 11.637
Al 0.000 0.000 18.301
Al 0.000 0.000 23.283
Al 1.305 0.753 15.884
Al 0.000 0.000 26.239
Re 0.000 0.000 13.761

---

2.
12
Lattice="5.034 0.000 0.000 -2.517 4.360 0.000 0.000 0.000 7.878" Properties=species:S:1:pos:R:3 comment="AlRe, optimized geometry, DFT PBE-GGA" m_tot_mub_per_cell=0.0 total_energy_ev_per_cell=-96.4 pbc="T T T"
Al 0.000 1.494 1.970
Al -1.224 3.613 1.970
Al 1.294 0.747 5.909
Al 1.224 3.613 1.970
Al 3.741 0.747 5.909
Al 2.517 2.866 5.909
Re 0.000 0.000 0.000
Re 0.000 0.000 3.939
Re 0.000 2.907 4.557
Re 0.000 2.907 7.260
Re 2.517 1.453 0.618
Re 2.517 1.453 3.321

---

3.
30
Lattice="9.504 0.000 0.000 0.000 9.504 0.000 0.000 0.000 4.874" Properties=species:S:1:pos:R:3 comment="Al3Re2, optimized geometry, DFT PBE-GGA" m_tot_mub_per_cell=0.0 total_energy_ev_per_cell=-216.3 pbc="T T T"
Al 0.000 0.000 0.000
Al 0.575 2.516 0.000
Al 1.765 7.739 1.220
Al 1.765 7.739 3.654
Al 2.236 5.327 2.437
Al 2.516 0.575 0.000
Al 2.987 2.987 1.217
Al 2.987 2.987 3.657
Al 4.177 7.268 2.437
Al 4.752 4.752 2.437
Al 5.327 2.236 2.437
Al 6.517 6.517 1.217
Al 6.517 6.517 3.657
Al 6.988 8.928 0.000
Al 7.268 4.177 2.437
Al 7.739 1.765 1.220
Al 7.739 1.765 3.654
Al 8.928 6.988 0.000
Re 0.253 3.432 2.437
Re 1.015 1.015 2.437
Re 1.319 5.005 0.000
Re 3.432 0.253 2.437
Re 3.737 5.767 0.000
Re 4.499 8.184 0.000
Re 5.005 1.319 0.000
Re 5.767 3.737 0.000
Re 6.071 9.251 2.437
Re 8.184 4.499 0.000
Re 8.489 8.489 2.437
Re 9.251 6.071 2.437

---

4.
30
Lattice="9.552 0.000 0.000 0.000 9.552 0.000 0.000 0.000 4.927" Properties=species:S:1:pos:R:3 comment="Al7Re8, optimized geometry, DFT PBE-GGA" polymorph_energy_ev_per_atom=0.003 m_tot_mub_per_cell=0.0 pbc="T T T"
Al 0.000 0.000 0.000
Al 1.001 1.001 2.463
Al 1.782 7.770 1.217
Al 1.782 7.770 3.710
Al 2.994 2.994 1.246
Al 2.994 2.994 3.680
Al 3.775 5.777 0.000
Al 4.776 4.776 2.463
Al 5.777 3.775 0.000
Al 6.558 6.558 1.246
Al 6.558 6.558 3.680
Al 7.770 1.782 1.217
Al 7.770 1.782 3.710
Al 8.551 8.551 2.463
Re 0.333 3.561 2.463
Re 0.628 2.431 0.000
Re 1.216 5.109 0.000
Re 2.345 5.404 2.463
Re 2.431 0.628 0.000
Re 3.561 0.333 2.463
Re 4.149 7.208 2.463
Re 4.443 8.337 0.000
Re 5.109 1.216 0.000
Re 5.404 2.345 2.463
Re 5.992 9.219 2.463
Re 7.121 8.925 0.000
Re 7.208 4.149 2.463
Re 8.337 4.443 0.000
Re 8.925 7.121 0.000
Re 9.219 5.992 2.463

---

5.
30
Lattice="9.526 0.000 0.000 0.000 9.526 0.000 0.000 0.000 4.943" Properties=species:S:1:pos:R:3 comment="Al3Re2, optimized geometry, DFT PBE-GGA" m_tot_mub_per_cell=0.0 total_energy_ev_per_cell=-217.7 pbc="T T T"
Al 0.000 0.000 0.000
Al 0.332 3.517 2.471
Al 1.246 5.095 0.000
Al 1.719 7.807 1.235
Al 1.719 7.807 3.707
Al 3.044 3.044 1.236
Al 3.044 3.044 3.707
Al 3.517 0.332 2.471
Al 4.431 8.280 0.000
Al 4.763 4.763 2.471
Al 5.095 1.246 0.000
Al 6.009 9.194 2.471
Al 6.482 6.482 1.236
Al 6.482 6.482 3.707
Al 7.807 1.719 1.235
Al 7.807 1.719 3.707
Al 8.280 4.431 0.000
Al 9.194 6.009 2.471
Re 0.603 2.449 0.000
Re 0.867 0.867 2.471
Re 2.314 5.366 2.471
Re 2.449 0.603 0.000
Re 3.896 5.630 0.000
Re 4.160 7.212 2.471
Re 5.366 2.314 2.471
Re 5.630 3.896 0.000
Re 7.077 8.923 0.000
Re 7.212 4.160 2.471
Re 8.659 8.659 2.471
Re 8.923 7.077 0.000

---

6.
13
Lattice="2.573 1.486 8.899 -2.573 1.486 8.899 0.000 -2.971 8.899" Properties=species:S:1:pos:R:3 comment="Al4Re9, optimized geometry, DFT PBE-GGA" polymorph_energy_ev_per_atom=0.000 m_tot_mub_per_cell=0.0 pbc="T T T"
Al 0.000 0.000 4.065
Al 0.000 0.000 8.925
Al 0.000 0.000 17.770
Al 0.000 0.000 22.631
Re 0.000 0.000 1.199
Re -1.301 -0.751 11.210
Re 0.000 -1.502 15.486
Re -1.301 0.751 15.486
Re 0.000 0.000 13.348
Re 1.301 -0.751 11.210
Re 0.000 1.502 11.210
Re 1.301 0.751 15.486
Re 0.000 0.000 25.497

---

7.
24
Lattice="5.057 0.000 0.000 -2.529 4.380 0.000 0.000 0.000 16.592" Properties=species:S:1:pos:R:3 comment="Al7Re5, optimized geometry, DFT PBE-GGA" polymorph_energy_ev_per_atom=0.165 m_tot_mub_per_cell=0.0 pbc="T T T"
Al 0.000 0.000 1.423
Al 0.000 0.000 6.873
Al 0.000 0.000 9.719
Al 0.000 0.000 15.169
Al 0.000 1.426 4.148
Al -1.294 3.667 4.148
Al 1.235 0.713 12.444
Al 0.000 2.920 2.104
Al 0.000 2.920 6.192
Al 2.529 1.460 10.399
Al 2.529 1.460 14.488
Al 1.294 3.667 4.148
Al 3.822 0.713 12.444
Al 2.529 2.954 12.444
Re -1.264 2.190 0.000
Re -1.264 2.190 8.296
Re 0.000 2.920 10.851
Re 0.000 2.920 14.037
Re 2.529 0.000 0.000
Re 2.529 0.000 8.296
Re 1.264 2.190 0.000
Re 1.264 2.190 8.296
Re 2.529 1.460 2.555
Re 2.529 1.460 5.741

---

8.
6
Lattice="0.000 5.617 5.617 5.617 0.000 5.617 5.617 5.617 0.000" Properties=species:S:1:pos:R:3 comment="Al2Re, optimized geometry, DFT PBE-GGA" m_tot_mub_per_cell=0.0 total_energy_ev_per_cell=-28.6 pbc="T T T"
Al 0.000 0.000 0.000
Al 2.809 2.809 0.000
Al 2.809 0.000 2.809
Al 0.000 2.809 2.809
Re 1.404 1.404 1.404
Re 9.830 9.830 9.830

---

9.
13
Lattice="2.606 1.505 8.745 -2.606 1.505 8.745 0.000 -3.009 8.745" Properties=species:S:1:pos:R:3 comment="Al7Re6, optimized geometry, DFT PBE-GGA" polymorph_energy_ev_per_atom=0.000 m_tot_mub_per_cell=0.0 pbc="T T T"
Al 0.000 0.000 0.000
Al 0.000 0.000 4.362
Al 0.000 0.000 9.152
Al 0.000 0.000 11.861
Al 0.000 0.000 14.374
Al 0.000 0.000 17.083
Al 0.000 0.000 21.873
Re 0.000 -1.484 6.671
Re -1.285 0.742 6.671
Re -1.285 -0.742 19.564
Re 1.285 0.742 6.671
Re 1.285 -0.742 19.564
Re 0.000 1.484 19.564

---

10.
13
Lattice="2.548 1.471 9.073 -2.548 1.471 9.073 0.000 -2.942 9.073" Properties=species:S:1:pos:R:3 comment="Al4Re9, optimized geometry, DFT PBE-GGA" polymorph_energy_ev_per_atom=0.146 m_tot_mub_per_cell=0.0 pbc="T T T"
Al 0.000 0.000 1.290
Al 0.000 0.000 4.126
Al 0.000 0.000 23.093
Al 0.000 0.000 25.929
Re -1.303 -0.752 11.450
Re 0.000 0.000 9.138
Re 0.000 -1.505 15.769
Re -1.303 0.752 15.769
Re 0.000 0.000 13.609
Re 1.303 -0.752 11.450
Re 0.000 1.505 11.450
Re 0.000 0.000 18.081
Re 1.303 0.752 15.769

---

11.
2
Lattice="3.060 0.000 0.000 0.000 3.060 0.000 0.000 0.000 3.060" Properties=species:S:1:pos:R:3 comment="AlRe, optimized geometry, DFT PBE-GGA" m_tot_mub_per_cell=0.0 total_energy_ev_per_cell=-16.1 pbc="T T T"
Al 0.000 0.000 0.000
Re 1.530 1.530 1.530

---

12.
13
Lattice="2.477 1.430 8.752 -2.477 1.430 8.752 0.000 -2.861 8.752" Properties=species:S:1:pos:R:3 comment="Al6Re7, optimized geometry, DFT PBE-GGA" polymorph_energy_ev_per_atom=0.000 m_tot_mub_per_cell=0.0 pbc="T T T"
Al 0.000 -1.422 6.696
Al -1.232 0.711 6.696
Al -1.232 -0.711 19.559
Al 1.232 0.711 6.696
Al 1.232 -0.711 19.559
Al 0.000 1.422 19.559
Re 0.000 0.000 0.000
Re 0.000 0.000 4.385
Re 0.000 0.000 9.286
Re 0.000 0.000 11.893
Re 0.000 0.000 14.362
Re 0.000 0.000 16.969
Re 0.000 0.000 21.870

---

13.
13
Lattice="2.538 1.465 8.882 -2.538 1.465 8.882 0.000 -2.930 8.882" Properties=species:S:1:pos:R:3 comment="AlRe12, optimized geometry, DFT PBE-GGA" m_tot_mub_per_cell=0.0 total_energy_ev_per_cell=-150.7 pbc="T T T"
Al 0.000 0.000 0.000
Re 0.000 -1.456 6.786
Re -1.261 0.728 6.786
Re 0.000 0.000 4.564
Re 0.000 0.000 9.237
Re -1.261 -0.728 19.861
Re 0.000 0.000 12.061
Re 0.000 0.000 14.586
Re 1.261 0.728 6.786
Re 0.000 0.000 17.411
Re 0.000 0.000 22.083
Re 1.261 -0.728 19.861
Re 0.000 1.456 19.861

---

14.
13
Lattice="2.581 1.490 8.748 -2.581 1.490 8.748 0.000 -2.980 8.748" Properties=species:S:1:pos:R:3 comment="Al5Re8, optimized geometry, DFT PBE-GGA" polymorph_energy_ev_per_atom=0.074 m_tot_mub_per_cell=0.0 pbc="T T T"
Al 0.000 0.000 0.000
Al 0.000 0.000 4.410
Al 0.000 0.000 11.834
Al 0.000 0.000 14.409
Al 0.000 0.000 21.833
Re 0.000 -1.502 6.680
Re -1.300 0.751 6.680
Re 0.000 0.000 9.009
Re -1.300 -0.751 19.564
Re 1.300 0.751 6.680
Re 0.000 0.000 17.235
Re 1.300 -0.751 19.564
Re 0.000 1.502 19.564

---

15.
30
Lattice="9.345 0.000 0.000 0.000 9.345 0.000 0.000 0.000 5.028" Properties=species:S:1:pos:R:3 comment="Al7Re8, optimized geometry, DFT PBE-GGA" polymorph_energy_ev_per_atom=0.000 m_tot_mub_per_cell=0.0 pbc="T T T"
Al 0.000 0.000 0.000
Al 0.634 2.484 0.000
Al 0.949 0.949 2.514
Al 2.189 5.307 2.514
Al 2.484 0.634 0.000
Al 3.724 5.621 0.000
Al 4.038 7.156 2.514
Al 4.672 4.672 2.514
Al 5.307 2.189 2.514
Al 5.621 3.724 0.000
Al 6.861 8.711 0.000
Al 7.156 4.038 2.514
Al 8.396 8.396 2.514
Al 8.711 6.861 0.000
Re 0.330 3.454 2.514
Re 1.219 5.003 0.000
Re 1.648 7.697 1.264
Re 1.648 7.697 3.765
Re 3.025 3.025 1.251
Re 3.025 3.025 3.778
Re 3.454 0.330 2.514
Re 4.342 8.126 0.000
Re 5.003 1.219 0.000
Re 5.891 9.015 2.514
Re 6.320 6.320 1.251
Re 6.320 6.320 3.778
Re 7.697 1.648 1.264
Re 7.697 1.648 3.765
Re 8.126 4.342 0.000
Re 9.015 5.891 2.514

---

16.
24
Lattice="5.182 0.000 0.000 -2.591 4.487 0.000 0.000 0.000 16.400" Properties=species:S:1:pos:R:3 comment="AlRe, optimized geometry, DFT PBE-GGA" m_tot_mub_per_cell=0.0 total_energy_ev_per_cell=-191.5 pbc="T T T"
Al 0.000 0.000 1.476
Al 0.000 0.000 6.724
Al 0.000 0.000 9.676
Al 0.000 0.000 14.924
Al 0.000 2.992 2.062
Al 0.000 2.992 6.138
Al 0.000 2.992 10.828
Al 0.000 2.992 13.772
Al 2.591 1.496 2.628
Al 2.591 1.496 5.572
Al 2.591 1.496 10.262
Al 2.591 1.496 14.338
Re -1.295 2.244 0.000
Re -1.295 2.244 8.200
Re 0.000 1.458 4.100
Re -1.329 3.759 4.100
Re 1.262 0.729 12.300
Re 2.591 0.000 0.000
Re 2.591 0.000 8.200
Re 1.295 2.244 0.000
Re 1.295 2.244 8.200
Re 1.329 3.759 4.100
Re 3.919 0.729 12.300
Re 2.591 3.030 12.300

---

17.
2
Lattice="2.722 0.000 0.000 0.000 2.722 0.000 0.000 0.000 3.972" Properties=species:S:1:pos:R:3 comment="AlRe, optimized geometry, DFT PBE-GGA" m_tot_mub_per_cell=0.0 total_energy_ev_per_cell=-16.1 pbc="T T T"
Al 0.000 0.000 0.000
Re 1.361 1.361 1.986